1.
# Tm12CdAu6

An optimized crystal structure of Tm12CdAu6 (PBE, Alexandria).

Unit cell a=8.454 b=8.454 c=8.454 alpha=101.61 beta=101.61 gamma=101.61
Sites, in units of the cell vectors:
Tm (0.062, 0.328, 0.922)
Tm (0.078, 0.938, 0.672)
Tm (0.176, 0.571, 0.426)
Tm (0.328, 0.922, 0.062)
Tm (0.426, 0.176, 0.571)
Tm (0.429, 0.574, 0.824)
Tm (0.571, 0.426, 0.176)
Tm (0.574, 0.824, 0.429)
Tm (0.672, 0.078, 0.938)
Tm (0.824, 0.429, 0.574)
Tm (0.922, 0.062, 0.328)
Tm (0.938, 0.672, 0.078)
Cd (0.000, 0.000, 0.000)
Au (0.139, 0.305, 0.609)
Au (0.305, 0.609, 0.139)
Au (0.391, 0.861, 0.695)
Au (0.609, 0.139, 0.305)
Au (0.695, 0.391, 0.861)
Au (0.861, 0.695, 0.391)

The calculated density comes out at 9.8 g cm⁻³. Its energy is -4.2882 eV per atom. The value obtained for the density of states at the Fermi level is 1.08 states/eV/atom. The space-group type is R-3. Its total magnetization is 0.00 μB/cell.

***

2.
# CaCr3

An optimized crystal structure of CaCr3 (PBE, Alexandria).

Unit cell a=3.203 b=3.203 c=6.671 alpha=90.00 beta=90.00 gamma=90.00
Sites, in units of the cell vectors:
Ca (0.000, 0.000, 0.000)
Cr (0.000, 0.000, 0.500)
Cr (0.500, 0.500, 0.349)
Cr (0.500, 0.500, 0.651)

The calculated density comes out at 4.8 g cm⁻³. Its energy is -7.1244 eV per atom. The value obtained for the density of states at the Fermi level is 1.02 states/eV/atom. The space-group type is P4/mmm. Its total magnetization is 0.00 μB/cell.

***

3.
# Ac2Zn3In5

An optimized crystal structure of Ac2Zn3In5 (PBE, Alexandria).

Unit cell a=4.747 b=4.747 c=11.436 alpha=90.00 beta=90.00 gamma=90.00
Sites, in units of the cell vectors:
Ac (0.000, 0.500, 0.229)
Ac (0.500, 0.000, 0.771)
Zn (0.000, 0.000, 0.000)
Zn (0.000, 0.500, 0.888)
Zn (0.500, 0.000, 0.112)
In (0.000, 0.000, 0.500)
In (0.000, 0.500, 0.658)
In (0.500, 0.000, 0.342)
In (0.500, 0.500, 0.000)
In (0.500, 0.500, 0.500)

The calculated density comes out at 7.9 g cm⁻³. Its energy is -2.8986 eV per atom. The value obtained for the density of states at the Fermi level is 0.26 states/eV/atom. The space-group type is P-4m2. Its total magnetization is 0.00 μB/cell.

***

4.
# Co2TcBr

An optimized crystal structure of Co2TcBr (PBE, Alexandria).

Unit cell a=2.862 b=2.862 c=24.269 alpha=90.00 beta=90.00 gamma=120.00
Sites, in units of the cell vectors:
Co (0.000, 0.000, 0.247)
Co (0.000, 0.000, 0.753)
Co (0.333, 0.667, 0.419)
Co (0.333, 0.667, 0.914)
Co (0.667, 0.333, 0.086)
Co (0.667, 0.333, 0.581)
Tc (0.000, 0.000, 0.500)
Tc (0.333, 0.667, 0.167)
Tc (0.667, 0.333, 0.833)
Br (0.000, 0.000, 0.000)
Br (0.333, 0.667, 0.667)
Br (0.667, 0.333, 0.333)

The calculated density comes out at 8.6 g cm⁻³. Its energy is -5.9499 eV per atom. The value obtained for the density of states at the Fermi level is 1.52 states/eV/atom. Its energy relative to the elements, uncorrected is 613 meV/atom. The space-group type is R-3m. Its total magnetization is 7.96 μB/cell.

***

5.
# LaDyGe4

An optimized crystal structure of LaDyGe4 (PBE, Alexandria).

Unit cell a=8.922 b=15.456 c=4.148 alpha=90.00 beta=90.00 gamma=90.00
Sites, in units of the cell vectors:
La (0.120, 0.137, 0.000)
La (0.380, 0.637, 0.000)
La (0.620, 0.363, 0.000)
La (0.880, 0.863, 0.000)
Dy (0.145, 0.414, 0.000)
Dy (0.355, 0.914, 0.000)
Dy (0.645, 0.086, 0.000)
Dy (0.855, 0.586, 0.000)
Ge (0.047, 0.292, 0.500)
Ge (0.117, 0.565, 0.500)
Ge (0.125, 0.964, 0.500)
Ge (0.175, 0.803, 0.500)
Ge (0.325, 0.303, 0.500)
Ge (0.375, 0.464, 0.500)
Ge (0.383, 0.065, 0.500)
Ge (0.453, 0.792, 0.500)
Ge (0.547, 0.208, 0.500)
Ge (0.617, 0.935, 0.500)
Ge (0.625, 0.536, 0.500)
Ge (0.675, 0.697, 0.500)
Ge (0.825, 0.197, 0.500)
Ge (0.875, 0.036, 0.500)
Ge (0.883, 0.435, 0.500)
Ge (0.953, 0.708, 0.500)

The calculated density comes out at 6.9 g cm⁻³. Its energy is -5.2064 eV per atom. The value obtained for the density of states at the Fermi level is 0.30 states/eV/atom. The space-group type is Pbam. Its total magnetization is 0.00 μB/cell.

***

6.
# Ba2CaIr

An optimized crystal structure of Ba2CaIr (PBE, Alexandria).

Unit cell a=3.752 b=4.931 c=17.527 alpha=90.00 beta=90.00 gamma=90.00
Sites, in units of the cell vectors:
Ba (0.000, 0.000, 0.146)
Ba (0.000, 0.000, 0.854)
Ba (0.500, 0.500, 0.354)
Ba (0.500, 0.500, 0.646)
Ca (0.000, 0.500, 0.000)
Ca (0.500, 0.000, 0.500)
Ir (0.000, 0.500, 0.500)
Ir (0.500, 0.000, 0.000)

The calculated density comes out at 5.2 g cm⁻³. Its energy is -3.7200 eV per atom. The value obtained for the density of states at the Fermi level is 0.71 states/eV/atom. The space-group type is Immm. Its total magnetization is 0.00 μB/cell.

***

7.
# Pm6HoO12

An optimized crystal structure of Pm6HoO12 (PBE, Alexandria).

Unit cell a=6.792 b=6.792 c=6.792 alpha=99.40 beta=99.40 gamma=99.40
Sites, in units of the cell vectors:
Pm (0.108, 0.795, 0.637)
Pm (0.205, 0.363, 0.892)
Pm (0.363, 0.892, 0.205)
Pm (0.637, 0.108, 0.795)
Pm (0.795, 0.637, 0.108)
Pm (0.892, 0.205, 0.363)
Ho (0.500, 0.500, 0.500)
O (0.059, 0.919, 0.322)
O (0.081, 0.678, 0.941)
O (0.182, 0.438, 0.563)
O (0.322, 0.059, 0.919)
O (0.437, 0.818, 0.562)
O (0.438, 0.563, 0.182)
O (0.562, 0.437, 0.818)
O (0.563, 0.182, 0.438)
O (0.678, 0.941, 0.081)
O (0.818, 0.562, 0.437)
O (0.919, 0.322, 0.059)
O (0.941, 0.081, 0.678)

The calculated density comes out at 6.8 g cm⁻³. Its energy is -7.9525 eV per atom. The value obtained for the density of states at the Fermi level is 0.57 states/eV/atom. Its energy relative to the elements, uncorrected is -3080 meV/atom. The space-group type is R-3. Its total magnetization is 3.11 μB/cell.

***

8.
# Sr4BiPBr2

An optimized crystal structure of Sr4BiPBr2 (PBE, Alexandria).

Unit cell a=8.015 b=4.662 c=8.145 alpha=90.00 beta=110.02 gamma=90.00
Sites, in units of the cell vectors:
Sr (0.213, 0.000, 0.224)
Sr (0.219, 0.500, 0.760)
Sr (0.781, 0.500, 0.240)
Sr (0.787, 0.000, 0.776)
Bi (0.000, 0.000, 0.500)
P (0.000, 0.500, 0.000)
Br (0.500, 0.000, 0.000)
Br (0.500, 0.500, 0.500)

The calculated density comes out at 4.4 g cm⁻³. Its energy is -3.8527 eV per atom. Its energy relative to the elements, uncorrected is -1432 meV/atom. The space-group type is P2/m. Its total magnetization is 0.00 μB/cell.